Record 1
Ba3CaCd2 | PBE | optimized geometry

Lattice parameters (Å, degrees): 4.2551 4.2551 14.3120 90.00 90.00 90.00
Space group P4/mmm (No. 123)
Asymmetric unit:
Ba1 0.0000 0.0000 0.0000 (multiplicity 1)
Ba2 0.0000 0.0000 0.2953 (multiplicity 2)
Ca1 0.5000 0.5000 0.5000 (multiplicity 1)
Cd1 0.5000 0.5000 0.1535 (multiplicity 2)

## Properties
The density comes out at 4.3 g/cm3. The value obtained for the size of the total moment is 0.00 μB per formula unit. The value obtained for the formation energy is -213.6 meV per atom.


Record 2
Ba2Ca2Cd | PBE | optimized geometry

Lattice parameters (Å, degrees): 4.2376 4.2376 25.0383 90.00 90.00 90.00
Space group I4/mmm (No. 139)
Asymmetric unit:
Ba1 0.0000 0.0000 0.0824 (multiplicity 4)
Ca1 0.0000 0.0000 0.2983 (multiplicity 4)
Cd1 0.0000 0.0000 0.5000 (multiplicity 2)

## Properties
The density comes out at 3.5 g/cm3. The value obtained for the size of the total moment is 0.00 μB per formula unit. The value obtained for the formation energy is -121.6 meV per atom.


Record 3
BaCaCd | PBE | optimized geometry

Lattice parameters (Å, degrees): 5.2193 5.2193 9.0799 90.00 90.00 90.00
Space group P4/nmm (No. 129, origin choice 2)
Asymmetric unit:
Ba1 0.2500 0.2500 0.1410 (multiplicity 2)
Ca1 0.2500 0.7500 0.5000 (multiplicity 2)
Cd1 0.2500 0.2500 0.7319 (multiplicity 2)

## Properties
The density comes out at 3.9 g/cm3. The value obtained for the size of the total moment is 0.00 μB per formula unit. The value obtained for the formation energy is -209.5 meV per atom.